A geometry-optimized Na3Pu5Br12 structure, computed with PBE-GGA.

a b c (Å): 15.609 15.609 15.609
angles (deg): 109.47 109.47 109.47
Last column: magnetic moment on the atom in μB.
Positions (direct):
Pu (0.375, 0.125, 0.750)  5.86
Pu (0.250, 0.875, 0.125)  5.86
Pu (0.875, 0.625, 0.750)  5.86
Pu (0.375, 0.250, 0.125)  5.86
Pu (0.500, 0.000, 0.500)  5.80
Pu (0.000, 0.500, 0.000)  5.80
Pu (0.250, 0.375, 0.625)  5.86
Pu (0.750, 0.625, 0.375)  5.86
Pu (0.625, 0.875, 0.250)  5.86
Pu (0.125, 0.750, 0.375)  5.86
Pu (0.625, 0.750, 0.875)  5.86
Pu (0.000, 0.000, 0.000)  5.80
Pu (0.750, 0.125, 0.875)  5.86
Pu (0.125, 0.375, 0.250)  5.86
Pu (0.000, 0.500, 0.500)  5.80
Pu (0.500, 0.000, 0.000)  5.80
Pu (0.500, 0.500, 0.500)  5.80
Pu (0.000, 0.000, 0.500)  5.80
Pu (0.500, 0.500, 0.000)  5.80
Pu (0.875, 0.250, 0.625)  5.86
Br (0.124, 0.720, 0.547)  -0.02
Br (0.220, 0.547, 0.624)  -0.02
Br (0.327, 0.547, 0.423)  -0.02
Br (0.876, 0.280, 0.453)  -0.02
Br (0.173, 0.096, 0.720)  -0.02
Br (0.876, 0.596, 0.923)  -0.02
Br (0.780, 0.453, 0.376)  -0.02
Br (0.077, 0.904, 0.124)  -0.02
Br (0.577, 0.624, 0.404)  -0.02
Br (0.220, 0.673, 0.096)  -0.02
Br (0.904, 0.077, 0.624)  -0.02
Br (0.720, 0.124, 0.047)  -0.02
Br (0.624, 0.577, 0.904)  -0.02
Br (0.453, 0.780, 0.876)  -0.02
Br (0.047, 0.423, 0.827)  -0.02
Br (0.376, 0.423, 0.096)  -0.02
Br (0.404, 0.124, 0.577)  -0.02
Br (0.547, 0.327, 0.923)  -0.02
Br (0.404, 0.280, 0.327)  -0.02
Br (0.923, 0.096, 0.876)  -0.02
Br (0.376, 0.953, 0.780)  -0.02
Br (0.780, 0.327, 0.904)  -0.02
Br (0.923, 0.827, 0.547)  -0.02
Br (0.827, 0.923, 0.047)  -0.02
Br (0.624, 0.047, 0.220)  -0.02
Br (0.453, 0.673, 0.077)  -0.02
Br (0.673, 0.453, 0.577)  -0.02
Br (0.124, 0.404, 0.077)  -0.02
Br (0.423, 0.376, 0.596)  -0.02
Br (0.953, 0.577, 0.173)  -0.02
Br (0.096, 0.173, 0.220)  -0.02
Br (0.547, 0.220, 0.124)  -0.02
Br (0.173, 0.077, 0.953)  -0.02
Br (0.327, 0.780, 0.404)  -0.02
Br (0.673, 0.220, 0.596)  -0.02
Br (0.596, 0.876, 0.423)  -0.02
Br (0.953, 0.376, 0.280)  -0.02
Br (0.577, 0.953, 0.673)  -0.02
Br (0.423, 0.047, 0.327)  -0.02
Br (0.720, 0.596, 0.173)  -0.02
Br (0.904, 0.827, 0.780)  -0.02
Br (0.827, 0.904, 0.280)  -0.02
Br (0.280, 0.876, 0.953)  -0.02
Br (0.280, 0.404, 0.827)  -0.02
Br (0.077, 0.173, 0.453)  -0.02
Br (0.596, 0.720, 0.673)  -0.02
Br (0.096, 0.923, 0.376)  -0.02
Br (0.047, 0.624, 0.720)  -0.02
Na (0.250, 0.125, 0.375)  0.01
Na (0.750, 0.375, 0.125)  0.01
Na (0.375, 0.625, 0.250)  0.01
Na (0.875, 0.750, 0.125)  0.01
Na (0.250, 0.625, 0.875)  0.01
Na (0.125, 0.250, 0.875)  0.01
Na (0.625, 0.375, 0.750)  0.01
Na (0.375, 0.750, 0.625)  0.01
Na (0.875, 0.125, 0.250)  0.01
Na (0.750, 0.875, 0.625)  0.01
Na (0.125, 0.875, 0.750)  0.01
Na (0.625, 0.250, 0.375)  0.01

Output
DOS(E_F)   330.7 states/eV per cell
Crystal system   cubic
Space-group type   Ia-3d (230)
Calculated volume   36.6 Å³ per atom
Uncorrected formation energy   -1.237 eV per atom
Total moment   1.542 μB per atom